Record 1
Entry from Alexandria via LeMat-Bulk: a relaxed structure of YZn2Cl (PBE).

Electronic total energy = -25.163 eV per cell
Raw formation energy = -0.4308 eV per atom
Offset from the most stable computed form = 0.165 eV/atom
Mass density = 5.10 Mg/m³

a = 4.3626 Å, b = 4.3626 Å, c = 8.7250 Å
α = 90.00°, β = 90.00°, γ = 90.00°
Fractional coordinates of all 8 atoms:
1 Y 0.0000 0.0000 0.0000
2 Y 0.5000 0.5000 0.5000
3 Zn 0.0000 0.0000 0.5000
4 Zn 0.0000 0.5000 0.7500
5 Zn 0.5000 0.0000 0.2500
6 Zn 0.5000 0.5000 0.0000
7 Cl 0.0000 0.5000 0.2500
8 Cl 0.5000 0.0000 0.7500

Record 2
Entry from Alexandria via LeMat-Bulk: a relaxed structure of Mg6ZnPd5 (PBE).

Electronic total energy = -44.415 eV per cell
Mass density = 6.29 Mg/m³

a = 4.5640 Å, b = 6.2665 Å, c = 7.8567 Å
α = 113.17°, β = 106.48°, γ = 90.27°
Fractional coordinates of all 12 atoms:
1 Mg 0.0000 0.2431 0.0002
2 Mg 0.0000 0.7569 0.9998
3 Mg 0.3294 0.5822 0.6577
4 Mg 0.3296 0.0751 0.6577
5 Mg 0.6704 0.9249 0.3423
6 Mg 0.6706 0.4178 0.3423
7 Zn 0.5000 0.5000 0.0000
8 Pd 0.1619 0.6624 0.3239
9 Pd 0.1635 0.1640 0.3288
10 Pd 0.5000 0.0000 0.0000
11 Pd 0.8365 0.8360 0.6712
12 Pd 0.8381 0.3376 0.6761

Record 3
Entry from Alexandria via LeMat-Bulk: a relaxed structure of Hf2Be3Zn (PBE).

Electronic total energy = -66.638 eV per cell
Mass density = 8.81 Mg/m³

a = 7.8266 Å, b = 7.4948 Å, c = 5.0504 Å
α = 74.35°, β = 67.24°, γ = 38.42°
Fractional coordinates of all 12 atoms:
1 Hf 0.2446 0.7554 0.7554
2 Hf 0.2500 0.2500 0.2500
3 Hf 0.7500 0.7500 0.7500
4 Hf 0.7554 0.2446 0.2446
5 Be 0.1623 0.1623 0.8377
6 Be 0.1621 0.6758 0.3242
7 Be 0.3242 0.8379 0.1621
8 Be 0.6758 0.1621 0.8379
9 Be 0.8379 0.3242 0.6758
10 Be 0.8377 0.8377 0.1623
11 Zn 0.3341 0.3341 0.6659
12 Zn 0.6659 0.6659 0.3341

Which formula does entry 2 have?
Mg6ZnPd5

electronic total energy of number 1 (YZn2Cl)?
-25.163 eV per cell